4
Lattice="1.894 -2.969 0.000 1.894 2.969 0.000 0.000 0.000 9.432" Properties=species:S:1:pos:R:3 comment="PBE-GGA BeSbTe2, relaxed" polymorph_energy_ev_per_fu=0.977 m_tot_mub_per_cell=0.0 e_form_raw_ev_per_atom=0.271 pbc="T T T"
Be 0.000 0.000 0.000
Sb 1.894 0.000 1.854
Te 0.000 0.000 4.334
Te 1.894 0.000 7.965